# PBE+U KCa2FeO4, optimized geometry
# - Uncorrected energy: -5.99 eV per atom
# - Density: 2.98 g/cm³
# - M_tot: 10.00 Bohr magnetons per cell
data_KCa2FeO4
_symmetry_space_group_name_H-M 'I -4 2 m'
_symmetry_Int_Tables_number 121
_symmetry_space_group_name_Hall 'I -4 2'
_cell_length_a 5.7090
_cell_length_b 5.7090
_cell_length_c 8.1752
_cell_angle_alpha 90.00
_cell_angle_beta 90.00
_cell_angle_gamma 90.00
loop_
_atom_site_label
_atom_site_type_symbol
_atom_site_fract_x
_atom_site_fract_y
_atom_site_fract_z
K1 K 0.0000 0.0000 0.0000
Ca1 Ca 0.0000 0.5000 0.2500
Fe1 Fe 0.0000 0.0000 0.5000
O1 O 0.1979 0.1979 0.3705